(1)
The following is a GGA-PBEsol calculation of crystalline SbPb at its relaxed geometry, from the Alexandria database.

Cell and atoms, written as POSCAR:
```
SbPb
1.0
4.5035 0.0000 0.0000
0.0000 6.0870 0.0000
0.0000 0.0000 8.7416
Sb Pb
4 4
Cartesian
3.3776 1.2117 4.9523 Sb
3.3776 1.8318 0.5815 Sb
1.1259 4.8753 3.7892 Sb
1.1259 4.2552 8.1600 Sb
1.1259 1.1926 7.1747 Pb
3.3776 4.8944 1.5668 Pb
3.3776 4.2361 5.9376 Pb
1.1259 1.8509 2.8039 Pb
```

## Properties
SG: Pnma
Density in Mg/m³: 9.1

(2)
The following is a GGA-PBEsol calculation of crystalline SbPb2 at its relaxed geometry, from the Alexandria database.

Cell and atoms, written as POSCAR:
```
SbPb2
1.0
-1.8013 -4.2648 -3.0210
4.9480 -0.2446 2.4529
-2.7760 -2.6098 5.3395
Pb Sb
4 2
Cartesian
2.0042 -2.2371 1.9632 Pb
0.0000 0.0000 0.0000 Pb
-1.6336 -4.8821 2.8083 Pb
-1.3880 -1.3049 2.6698 Pb
0.6162 -3.5420 4.6329 Sb
-0.2455 -3.5772 0.1385 Sb
```

## Properties
Energy above the most stable polymorph in this dataset in meV per atom: 8.0
SG: P6_3/mmc
Density in Mg/m³: 10.3

(3)
The following is a GGA-PBEsol calculation of crystalline SbPb2 at its relaxed geometry, from the Alexandria database.

Cell and atoms, written as POSCAR:
```
SbPb2
1.0
4.2219 0.0000 0.0000
0.0000 8.6141 0.0000
0.0000 -4.3071 7.4600
Sb Pb
3 6
Cartesian
0.0000 4.3071 2.4867 Sb
0.0000 0.0000 4.9734 Sb
2.1110 0.0000 0.0000 Sb
2.1110 5.1161 0.0000 Pb
0.0000 -1.1702 2.0268 Pb
0.0000 2.3404 0.0000 Pb
0.0000 3.1369 5.4332 Pb
2.1110 -2.5581 4.4307 Pb
2.1110 1.7490 3.0293 Pb
```

## Properties
Energy above the most stable polymorph in this dataset in meV per atom: 41.2
SG: P-62m
Density in Mg/m³: 9.8

(4)
The following is a GGA-PBEsol calculation of crystalline SbPb2 at its relaxed geometry, from the Alexandria database.

Cell and atoms, written as POSCAR:
```
SbPb2
1.0
-2.6506 -6.4984 2.3508
6.3417 -3.2877 -1.9378
2.7456 1.3202 6.7454
Sb Pb
4 8
Cartesian
4.5437 -0.9837 2.4038 Sb
0.0475 -2.5891 4.5481 Sb
1.8456 -4.8931 0.2065 Sb
0.0000 0.0000 0.0000 Sb
0.1804 -5.2755 6.0287 Pb
4.0180 -5.2846 4.4684 Pb
2.4188 -3.1813 2.6899 Pb
4.2405 -6.7717 0.6083 Pb
2.1963 -1.6941 6.5501 Pb
6.2564 -3.1904 1.1297 Pb
0.4028 -6.7626 2.1685 Pb
6.0339 -1.7033 4.9898 Pb
```

## Properties
Energy above the most stable polymorph in this dataset in meV per atom: 113.9
SG: Pa-3
Density in Mg/m³: 8.8

(5)
The following is a GGA-PBEsol calculation of crystalline SbPb at its relaxed geometry, from the Alexandria database.

Cell and atoms, written as POSCAR:
```
SbPb
1.0
5.0599 0.0000 0.0000
2.5299 4.3820 0.0000
2.5299 1.4607 5.9312
Pb Sb
2 2
Cartesian
7.5898 4.3820 1.9408 Pb
2.5299 1.4607 3.9904 Pb
2.5299 1.4607 0.8899 Sb
7.5898 4.3820 5.0413 Sb
```

## Properties
SG: R-3m
Density in Mg/m³: 8.3

(6)
The following is a GGA-PBEsol calculation of crystalline Sb3Pb2 at its relaxed geometry, from the Alexandria database.

Cell and atoms, written as POSCAR:
```
Sb3Pb2
1.0
-1.9708 2.4718 2.8283
-0.4287 -4.2151 0.2043
7.9576 -0.5186 5.9981
Sb Pb
3 2
Cartesian
2.3533 -2.2009 3.5633 Sb
0.0000 0.0000 0.0000 Sb
3.2048 -0.0609 5.4673 Sb
0.0295 0.1460 3.0739 Pb
5.5286 -2.4079 5.9568 Pb
```

## Properties
SG: P-3m1
Density in Mg/m³: 8.3

no.,electronic total energy (eV/cell),raw formation energy (eV per atom),magnetization (μB per atom)
1,-33.7,0.066,0.00
2,-24.9,0.028,0.00
3,-37.1,0.061,0.00
4,-48.6,0.134,0.00
5,-16.7,0.109,0.00
6,-21.3,0.082,0.00